# 1
A geometry-optimized PmYMg14 structure, computed with GGA-PBE.

Geometry as extended XYZ:
```
16
Lattice="6.943 0.000 0.000 0.000 6.943 0.000 0.000 0.000 8.033" Properties=species:S:1:pos:R:3 pbc="T T T"
Pm 0.000 0.000 0.000
Y 3.471 3.471 0.000
Mg 0.000 0.000 4.016
Mg 0.000 3.471 0.000
Mg 0.000 3.471 4.016
Mg 1.746 1.746 2.106
Mg 1.746 1.746 5.927
Mg 1.746 5.197 2.106
Mg 1.746 5.197 5.927
Mg 3.471 0.000 0.000
Mg 3.471 0.000 4.016
Mg 3.471 3.471 4.016
Mg 5.197 1.746 2.106
Mg 5.197 1.746 5.927
Mg 5.197 5.197 2.106
Mg 5.197 5.197 5.927
```

Output
Formation energy: -0.043 eV per atom
SG: P4/mmm
Total DFT energy (no corrections): -2.14 eV per atom
Crystal system: tetragonal

***

# 2
A geometry-optimized Pm7YMg2 structure, computed with GGA-PBE.

Geometry as extended XYZ:
```
10
Lattice="4.411 -8.342 0.000 4.411 8.342 0.000 0.000 0.000 5.352" Properties=species:S:1:pos:R:3 pbc="T T T"
Pm 0.000 0.000 0.000
Pm 2.791 1.907 0.000
Pm 4.411 3.546 2.676
Pm 2.791 -1.907 0.000
Pm 6.031 1.907 0.000
Pm 4.411 -3.546 2.676
Pm 6.031 -1.907 0.000
Y 4.411 0.000 2.676
Mg 4.411 4.971 0.000
Mg 4.411 -4.971 0.000
```

Output
Formation energy: 0.527 eV per atom
SG: Cmmm
Total DFT energy (no corrections): -3.76 eV per atom
Crystal system: orthorhombic

***

# 3
A geometry-optimized Pm12Y6Mg structure, computed with GGA-PBE.

Geometry as extended XYZ:
```
19
Lattice="6.597 3.809 4.316 -6.597 3.809 4.316 0.000 -7.617 4.316" Properties=species:S:1:pos:R:3 pbc="T T T"
Pm -1.714 -4.638 4.319
Pm -2.739 -1.579 5.767
Pm -3.160 3.803 4.319
Pm -4.873 -0.835 8.630
Pm -0.002 -3.161 7.182
Pm -2.737 1.582 7.182
Pm 2.737 -1.582 5.767
Pm 0.002 3.161 5.767
Pm 4.873 0.835 4.319
Pm 3.160 -3.803 8.630
Pm 2.739 1.579 7.182
Pm 1.714 4.638 8.630
Y -1.785 1.022 2.957
Y 0.007 -2.056 2.957
Y 1.777 1.035 2.957
Y -1.777 -1.035 9.992
Y -0.007 2.056 9.992
Y 1.785 -1.022 9.992
Mg 0.000 0.000 0.000
```

Output
Formation energy: 0.123 eV per atom
SG: R-3
Total DFT energy (no corrections): -5.00 eV per atom
Crystal system: trigonal

***

# 4
A geometry-optimized Pm4Y4Mg structure, computed with GGA-PBE.

Geometry as extended XYZ:
```
9
Lattice="-5.367 5.367 2.533 5.367 -5.367 2.533 5.367 5.367 -2.533" Properties=species:S:1:pos:R:3 pbc="T T T"
Pm 3.593 0.000 0.000
Pm 7.142 0.000 0.000
Pm 0.000 3.593 0.000
Pm 0.000 7.142 0.000
Y 3.599 3.599 0.000
Y 1.768 -1.768 2.533
Y -1.768 1.768 2.533
Y 1.768 1.768 2.533
Mg 0.000 0.000 0.000
```

Output
Formation energy: 0.022 eV per atom
SG: I4/mmm
Total DFT energy (no corrections): -5.14 eV per atom
Crystal system: tetragonal

***

# 5
A geometry-optimized Pm7Y3Mg structure, computed with GGA-PBE.

Geometry as extended XYZ:
```
11
Lattice="7.113 0.000 0.000 -3.557 6.160 0.000 0.000 0.000 8.687" Properties=species:S:1:pos:R:3 pbc="T T T"
Pm 0.000 0.000 0.000
Pm -1.774 3.083 0.010
Pm 1.753 1.012 5.804
Pm 1.774 3.083 0.010
Pm 0.000 6.155 0.010
Pm 5.360 1.012 5.804
Pm 3.557 4.136 5.804
Y 0.000 2.043 2.905
Y -1.788 5.139 2.905
Y 1.788 5.139 2.905
Mg 0.000 4.107 5.789
```

Output
Formation energy: 0.181 eV per atom
SG: P3m1
Total DFT energy (no corrections): -4.75 eV per atom
Crystal system: trigonal

***

# 6
A geometry-optimized Pm2Y3Mg3 structure, computed with GGA-PBE.

Geometry as extended XYZ:
```
16
Lattice="3.820 0.000 0.000 0.000 5.444 0.000 0.000 0.000 22.608" Properties=species:S:1:pos:R:3 pbc="T T T"
Pm 0.000 0.000 5.285
Pm 0.000 0.000 17.324
Pm 1.910 2.722 6.019
Pm 1.910 2.722 16.589
Y 0.000 0.000 0.000
Y 0.000 2.722 2.768
Y 0.000 2.722 19.840
Y 1.910 0.000 8.536
Y 1.910 0.000 14.072
Y 1.910 2.722 11.304
Mg 0.000 0.000 11.304
Mg 0.000 2.722 8.713
Mg 0.000 2.722 13.896
Mg 1.910 0.000 2.592
Mg 1.910 0.000 20.017
Mg 1.910 2.722 0.000
```

Output
Formation energy: -0.074 eV per atom
SG: Immm
Total DFT energy (no corrections): -4.28 eV per atom
Crystal system: orthorhombic

***

# 7
A geometry-optimized Pm14YMg structure, computed with GGA-PBE.

Geometry as extended XYZ:
```
16
Lattice="7.234 0.000 0.000 0.000 7.234 0.000 0.000 0.000 10.249" Properties=species:S:1:pos:R:3 pbc="T T T"
Pm 0.000 0.000 0.000
Pm 0.000 3.617 0.000
Pm 0.000 3.617 5.125
Pm 1.811 1.811 2.588
Pm 1.811 1.811 7.661
Pm 1.811 5.422 2.588
Pm 1.811 5.422 7.661
Pm 3.617 0.000 0.000
Pm 3.617 0.000 5.125
Pm 3.617 3.617 0.000
Pm 5.422 1.811 2.588
Pm 5.422 1.811 7.661
Pm 5.422 5.422 2.588
Pm 5.422 5.422 7.661
Y 0.000 0.000 5.125
Mg 3.617 3.617 5.125
```

Output
Formation energy: 0.010 eV per atom
SG: P4/mmm
Total DFT energy (no corrections): -4.65 eV per atom
Crystal system: tetragonal

***

# 8
A geometry-optimized Pm4Y7Mg structure, computed with GGA-PBE.

Geometry as extended XYZ:
```
12
Lattice="6.264 0.000 0.000 0.000 7.234 0.000 -2.071 0.000 8.629" Properties=species:S:1:pos:R:3 pbc="T T T"
Pm 1.037 1.780 1.447
Pm 1.037 5.454 1.447
Pm 3.157 1.780 7.182
Pm 3.157 5.454 7.182
Y -1.035 1.819 4.314
Y -1.035 5.415 4.314
Y -0.007 3.617 7.184
Y 0.053 0.000 7.176
Y 2.097 3.617 4.314
Y 4.140 0.000 1.453
Y 4.201 3.617 1.444
Mg 2.097 0.000 4.314
```

Output
Formation energy: 0.021 eV per atom
SG: P2/m
Total DFT energy (no corrections): -5.47 eV per atom
Crystal system: monoclinic

***

# 9
A geometry-optimized Pm4YMg structure, computed with GGA-PBE.

Geometry as extended XYZ:
```
6
Lattice="3.659 0.000 0.000 0.000 3.659 0.000 0.000 0.000 14.473" Properties=species:S:1:pos:R:3 pbc="T T T"
Pm 0.000 0.000 2.187
Pm 0.000 0.000 12.286
Pm 1.830 1.830 4.701
Pm 1.830 1.830 9.771
Y 0.000 0.000 7.236
Mg 1.830 1.830 0.000
```

Output
Formation energy: -0.022 eV per atom
SG: P4/mmm
Total DFT energy (no corrections): -4.53 eV per atom
Crystal system: tetragonal

***

# 10
A geometry-optimized PmY3Mg structure, computed with GGA-PBE.

Geometry as extended XYZ:
```
10
Lattice="3.539 0.000 0.000 0.000 6.961 0.000 -1.763 0.000 12.882" Properties=species:S:1:pos:R:3 pbc="T T T"
Pm 0.003 1.740 0.029
Pm 1.773 5.221 12.854
Y 0.001 5.221 5.313
Y 0.007 0.057 10.263
Y 0.007 3.423 10.263
Y 1.770 3.538 2.619
Y 1.770 6.904 2.619
Y 1.775 1.740 7.569
Mg 0.003 1.740 4.788
Mg 1.773 5.221 8.095
```

Output
Formation energy: 0.061 eV per atom
SG: P2_1/m
Total DFT energy (no corrections): -5.09 eV per atom
Crystal system: monoclinic

***

# 11
A geometry-optimized Pm4Y4Mg structure, computed with GGA-PBE.

Geometry as extended XYZ:
```
18
Lattice="7.131 0.000 0.000 -1.776 7.801 0.000 -0.044 -2.439 10.435" Properties=species:S:1:pos:R:3 pbc="T T T"
Pm -0.023 1.634 4.037
Pm -0.044 5.738 8.699
Pm 1.747 3.688 6.376
Pm 1.744 2.890 9.860
Pm 3.567 2.472 0.575
Pm 3.564 1.674 4.059
Pm 5.355 -0.376 1.736
Pm 5.334 3.728 6.398
Y -0.007 2.481 0.622
Y -0.007 0.850 7.541
Y -0.026 6.577 5.232
Y 0.022 7.339 1.762
Y 5.289 -1.977 8.673
Y 5.337 -1.216 5.203
Y 5.318 4.512 2.894
Y 5.318 2.881 9.813
Mg 1.762 4.553 2.905
Mg 3.549 0.809 7.530
```

Output
Formation energy: 0.016 eV per atom
SG: P-1
Total DFT energy (no corrections): -5.15 eV per atom
Crystal system: triclinic

***

# 12
A geometry-optimized Pm2YMg6 structure, computed with GGA-PBE.

Geometry as extended XYZ:
```
9
Lattice="9.146 0.000 0.000 -4.573 7.920 0.000 0.000 0.000 3.330" Properties=species:S:1:pos:R:3 pbc="T T T"
Pm 0.000 5.280 0.000
Pm 4.573 2.640 0.000
Y 0.000 0.000 0.000
Mg -1.513 2.620 1.665
Mg -3.060 5.300 1.665
Mg 3.026 0.000 1.665
Mg 1.513 2.620 1.665
Mg 6.120 0.000 1.665
Mg 3.060 5.300 1.665
```

Output
Formation energy: -0.093 eV per atom
SG: P6/mmm
Total DFT energy (no corrections): -2.93 eV per atom
Crystal system: hexagonal

***

Q: Look up the formation energy of the fifth one.
A: 0.181 eV per atom

***

Q: Look up the formation energy of the eighth one.
A: 0.021 eV per atom